Material: Mg2As
Method: DFT, PBE
State: optimized geometry

Unit cell a=5.3401 b=5.3401 c=5.3401 alpha=141.99 beta=138.28 gamma=57.70
Fractional positions:
As  0.0000  0.0000  0.0000
Mg  0.6536  0.6536  0.0000
Mg  0.3464  0.3464  0.0000

Its total energy is -2.77 eV per atom. The mass density comes out at 3.32 Mg/m³. The energy of formation comes out at -0.16 eV per atom.